Record 1
This record from Alexandria describes a relaxed NaBiMo3 crystal. The functional is PBE.

The structure in CIF format:
```
data_NaBiMo3
_space_group_name_H-M_alt 'P m -3 m'
_space_group_IT_number 221
_space_group_name_Hall '-P 4 2 3'
_cell_length_a 4.689
_cell_length_b 4.689
_cell_length_c 4.689
_cell_angle_alpha 90.00
_cell_angle_beta 90.00
_cell_angle_gamma 90.00
loop_
_atom_site_label
_atom_site_type_symbol
_atom_site_fract_x
_atom_site_fract_y
_atom_site_fract_z
Na1 Na 0.000 0.000 0.000
Bi1 Bi 0.500 0.500 0.500
Mo1 Mo 0.000 0.000 0.500
```

Record 2
This record from Alexandria describes a relaxed NaBi2Mo crystal. The functional is PBE.

The structure in CIF format:
```
data_NaBi2Mo
_space_group_name_H-M_alt 'F m -3 m'
_space_group_IT_number 225
_space_group_name_Hall '-F 4 2 3'
_cell_length_a 7.265
_cell_length_b 7.265
_cell_length_c 7.265
_cell_angle_alpha 90.00
_cell_angle_beta 90.00
_cell_angle_gamma 90.00
loop_
_atom_site_label
_atom_site_type_symbol
_atom_site_fract_x
_atom_site_fract_y
_atom_site_fract_z
Na1 Na 0.000 0.000 0.000
Bi1 Bi 0.250 0.250 0.250
Mo1 Mo 0.000 0.000 0.500
```

Record 3
This record from Alexandria describes a relaxed Na2BiMo2 crystal. The functional is PBE.

The structure in CIF format:
```
data_Na2BiMo2
_space_group_name_H-M_alt 'P 4/m b m'
_space_group_IT_number 127
_space_group_name_Hall '-P 4 2ab'
_cell_length_a 6.948
_cell_length_b 6.948
_cell_length_c 5.360
_cell_angle_alpha 90.00
_cell_angle_beta 90.00
_cell_angle_gamma 90.00
loop_
_atom_site_label
_atom_site_type_symbol
_atom_site_fract_x
_atom_site_fract_y
_atom_site_fract_z
Na1 Na 0.175 0.325 0.000
Bi1 Bi 0.000 0.000 0.500
Mo1 Mo 0.109 0.609 0.500
```

Here are the calculated energy of formation numbers, same order: 2.400; 0.387; 0.676 (eV/atom).